This record from Alexandria via LeMat-Bulk describes a geometry-optimized K3Dy3ScTe8 structure. The functional is GGA-PBE.

Cell and atoms, written as CIF:
```
data_K3Dy3ScTe8
_chemical_formula_sum 'K3 Dy3 Sc1 Te8'
_symmetry_space_group_name_H-M 'P 1'
_symmetry_Int_Tables_number 1
_cell_length_a 8.682
_cell_length_b 8.685
_cell_length_c 9.921
_cell_angle_alpha 115.95
_cell_angle_beta 90.00
_cell_angle_gamma 120.01
loop_
_symmetry_equiv_pos_as_xyz
'x,y,z'
loop_
_atom_site_label
_atom_site_type_symbol
_atom_site_fract_x
_atom_site_fract_y
_atom_site_fract_z
K1 K 0.500 0.500 0.000
K2 K 0.000 0.000 0.000
K3 K 0.000 0.500 0.000
Te1 Te 0.771 0.026 0.297
Te2 Te 0.229 0.974 0.703
Te3 Te 0.745 0.974 0.703
Te4 Te 0.771 0.542 0.297
Te5 Te 0.255 0.026 0.297
Te6 Te 0.263 0.527 0.290
Te7 Te 0.737 0.473 0.710
Te8 Te 0.229 0.458 0.703
Dy1 Dy 0.500 0.000 0.500
Dy2 Dy 0.000 0.500 0.500
Dy3 Dy 0.500 0.500 0.500
Sc1 Sc 0.000 0.000 0.500
```

## Properties
Density of states at the Fermi level   5.55 states/eV per cell
Total moment   0.000 μB per atom
Energy relative to the elements, uncorrected   -19.3 eV/f.u.